Run one
{
  "formula": "AcBeRh2",
  "functional": "GGA-PBE",
  "state": "relaxed",
  "m_tot_mub_per_atom": 0.0000,
  "lattice_angstrom": [[4.261, 0.000, 0.000], [0.000, 16.328, 0.000], [0.000, 0.000, 4.286]],
  "species": ["Ac", "Ac", "Ac", "Ac", "Be", "Be", "Be", "Be", "Rh", "Rh", "Rh", "Rh", "Rh", "Rh", "Rh", "Rh"],
  "fractional_positions": [[0.000, 0.141, 0.000], [0.000, 0.859, 0.000], [0.500, 0.359, 0.000], [0.500, 0.641, 0.000], [0.000, 0.434, 0.500], [0.000, 0.566, 0.500], [0.500, 0.066, 0.500], [0.500, 0.934, 0.500], [0.000, 0.000, 0.500], [0.000, 0.296, 0.500], [0.000, 0.500, 0.000], [0.000, 0.704, 0.500], [0.500, 0.000, 0.000], [0.500, 0.204, 0.500], [0.500, 0.500, 0.500], [0.500, 0.796, 0.500]]
}

Run two
{
  "formula": "AcBeRh2",
  "functional": "GGA-PBE",
  "state": "relaxed",
  "m_tot_mub_per_atom": 0.0000,
  "lattice_angstrom": [[4.001, 0.000, 0.000], [-2.000, 3.465, 0.000], [0.000, 0.000, 16.099]],
  "species": ["Ac", "Ac", "Ac", "Be", "Be", "Be", "Rh", "Rh", "Rh", "Rh", "Rh", "Rh"],
  "fractional_positions": [[0.000, 0.000, 0.000], [0.333, 0.667, 0.667], [0.667, 0.333, 0.333], [0.000, 0.000, 0.500], [0.333, 0.667, 0.167], [0.667, 0.333, 0.833], [0.000, 0.000, 0.212], [0.000, 0.000, 0.788], [0.333, 0.667, 0.454], [0.333, 0.667, 0.879], [0.667, 0.333, 0.121], [0.667, 0.333, 0.546]]
}

Stability ranking, top entry: run one; the second entry is 88 meV/atom less favorable.

Run one
{
  "formula": "AcBeSb",
  "functional": "GGA-PBE",
  "state": "relaxed",
  "m_tot_mub_per_atom": 0.0000,
  "lattice_angstrom": [[3.689, 0.000, 0.000], [0.000, 3.689, 0.000], [0.000, 0.000, 11.398]],
  "species": ["Ac", "Ac", "Be", "Be", "Sb", "Sb"],
  "fractional_positions": [[0.000, 0.000, 0.000], [0.500, 0.500, 0.500], [0.000, 0.000, 0.302], [0.500, 0.500, 0.802], [0.000, 0.000, 0.713], [0.500, 0.500, 0.213]]
}

Run two
{
  "formula": "AcBeSb",
  "functional": "GGA-PBE",
  "state": "relaxed",
  "m_tot_mub_per_atom": 0.0000,
  "lattice_angstrom": [[6.598, 0.000, 0.000], [0.000, 6.498, 0.000], [-2.270, 0.000, 7.490]],
  "species": ["Ac", "Ac", "Ac", "Ac", "Be", "Be", "Be", "Be", "Sb", "Sb", "Sb", "Sb"],
  "fractional_positions": [[0.246, 0.156, 0.377], [0.246, 0.344, 0.877], [0.754, 0.656, 0.123], [0.754, 0.844, 0.623], [0.115, 0.614, 0.500], [0.115, 0.886, 0.000], [0.885, 0.114, 0.000], [0.885, 0.386, 0.500], [0.292, 0.654, 0.256], [0.292, 0.846, 0.756], [0.708, 0.154, 0.244], [0.708, 0.346, 0.744]]
}

Stability ranking, top entry: run two; the second entry is 483 meV/atom less favorable.

Run one
{
  "formula": "AcBeSi",
  "functional": "GGA-PBE",
  "state": "relaxed",
  "m_tot_mub_per_atom": 0.0164,
  "lattice_angstrom": [[4.063, 0.000, 0.000], [0.000, 7.095, 0.000], [0.000, 0.000, 9.240]],
  "species": ["Ac", "Ac", "Ac", "Ac", "Be", "Be", "Be", "Be", "Si", "Si", "Si", "Si"],
  "fractional_positions": [[0.000, 0.000, 0.247], [0.000, 0.000, 0.753], [0.500, 0.500, 0.253], [0.500, 0.500, 0.747], [0.000, 0.338, 0.000], [0.000, 0.662, 0.000], [0.500, 0.162, 0.500], [0.500, 0.838, 0.500], [0.000, 0.324, 0.500], [0.000, 0.676, 0.500], [0.500, 0.176, 0.000], [0.500, 0.824, 0.000]]
}

Run two
{
  "formula": "AcBeSi",
  "functional": "GGA-PBE",
  "state": "relaxed",
  "m_tot_mub_per_atom": 0.0000,
  "lattice_angstrom": [[3.908, 0.000, 0.000], [0.000, 7.952, 3.300], [0.000, -7.952, 3.300]],
  "species": ["Ac", "Ac", "Ac", "Be", "Be", "Be", "Si", "Si", "Si"],
  "fractional_positions": [[0.000, 0.000, 0.000], [0.000, 0.171, 0.541], [0.000, 0.541, 0.171], [0.500, 0.381, 0.381], [0.500, 0.588, 0.738], [0.500, 0.738, 0.588], [0.000, 0.538, 0.538], [0.500, 0.097, 0.779], [0.500, 0.779, 0.097]]
}

Run three
{
  "formula": "AcBeSi",
  "functional": "GGA-PBE",
  "state": "relaxed",
  "m_tot_mub_per_atom": 0.1673,
  "lattice_angstrom": [[4.069, 0.000, 0.000], [-2.035, 3.524, 0.000], [0.000, 0.000, 4.621]],
  "species": ["Ac", "Be", "Si"],
  "fractional_positions": [[0.000, 0.000, 0.000], [0.333, 0.667, 0.500], [0.667, 0.333, 0.500]]
}

Stability ranking, top entry: run three; the second entry is 57 meV/atom less favorable.

Run one
{
  "formula": "Ac2BeSi3",
  "functional": "GGA-PBE",
  "state": "relaxed",
  "m_tot_mub_per_atom": 0.0000,
  "lattice_angstrom": [[4.076, 0.000, 0.000], [0.000, 4.740, 0.000], [0.000, 0.000, 7.003]],
  "species": ["Ac", "Ac", "Be", "Si", "Si", "Si"],
  "fractional_positions": [[0.000, 0.000, 0.000], [0.500, 0.000, 0.497], [0.000, 0.500, 0.672], [0.000, 0.500, 0.348], [0.500, 0.500, 0.163], [0.500, 0.500, 0.818]]
}

Run two
{
  "formula": "Ac2BeSi3",
  "functional": "GGA-PBE",
  "state": "relaxed",
  "m_tot_mub_per_atom": 0.0000,
  "lattice_angstrom": [[0.000, 4.729, 7.038], [4.053, 0.000, 7.038], [4.053, 4.729, 0.000]],
  "species": ["Ac", "Ac", "Ac", "Ac", "Be", "Be", "Si", "Si", "Si", "Si", "Si", "Si"],
  "fractional_positions": [[0.246, 0.754, 0.246], [0.250, 0.250, 0.250], [0.750, 0.750, 0.750], [0.754, 0.246, 0.754], [0.333, 0.333, 0.667], [0.667, 0.667, 0.333], [0.172, 0.172, 0.828], [0.175, 0.654, 0.825], [0.346, 0.825, 0.654], [0.654, 0.175, 0.346], [0.825, 0.346, 0.175], [0.828, 0.828, 0.172]]
}

Stability ranking, top entry: run two; the second entry is 16 meV/atom less favorable.

Run one
{
  "formula": "AcSm2Be",
  "functional": "GGA-PBE",
  "state": "relaxed",
  "m_tot_mub_per_atom": 0.0000,
  "lattice_angstrom": [[3.656, 0.000, 0.000], [-1.828, 3.166, 0.000], [0.000, 0.000, 35.209]],
  "species": ["Ac", "Ac", "Ac", "Sm", "Sm", "Sm", "Sm", "Sm", "Sm", "Be", "Be", "Be"],
  "fractional_positions": [[0.000, 0.000, 0.000], [0.333, 0.667, 0.667], [0.667, 0.333, 0.333], [0.000, 0.000, 0.418], [0.000, 0.000, 0.582], [0.333, 0.667, 0.084], [0.333, 0.667, 0.249], [0.667, 0.333, 0.751], [0.667, 0.333, 0.916], [0.000, 0.000, 0.500], [0.333, 0.667, 0.167], [0.667, 0.333, 0.833]]
}

Run two
{
  "formula": "AcSm2Be",
  "functional": "GGA-PBE",
  "state": "relaxed",
  "m_tot_mub_per_atom": 0.0000,
  "lattice_angstrom": [[3.614, 0.000, 0.000], [0.000, 3.614, 0.000], [0.000, 0.000, 9.097]],
  "species": ["Ac", "Sm", "Sm", "Be"],
  "fractional_positions": [[0.000, 0.000, 0.000], [0.500, 0.500, 0.321], [0.500, 0.500, 0.679], [0.000, 0.000, 0.500]]
}

Stability ranking, top entry: run two; the second entry is 636 meV/atom less favorable.

Run one
{
  "formula": "AcBeTe",
  "functional": "GGA-PBE",
  "state": "relaxed",
  "m_tot_mub_per_atom": 0.0000,
  "lattice_angstrom": [[16.448, 0.000, 0.000], [0.000, 4.358, 0.000], [-0.361, 0.000, 4.826]],
  "species": ["Ac", "Ac", "Ac", "Ac", "Be", "Be", "Be", "Be", "Te", "Te", "Te", "Te"],
  "fractional_positions": [[0.000, 0.000, 0.000], [0.238, 0.500, 0.418], [0.500, 0.500, 0.000], [0.738, 0.000, 0.418], [0.134, 0.500, 0.899], [0.182, 0.000, 0.941], [0.634, 0.000, 0.899], [0.682, 0.500, 0.941], [0.032, 0.500, 0.506], [0.333, 0.000, 0.956], [0.532, 0.000, 0.506], [0.833, 0.500, 0.956]]
}

Run two
{
  "formula": "AcBeTe",
  "functional": "GGA-PBE",
  "state": "relaxed",
  "m_tot_mub_per_atom": 0.0000,
  "lattice_angstrom": [[4.356, 0.000, 0.000], [-2.178, 3.773, 0.000], [0.000, 0.000, 4.710]],
  "species": ["Ac", "Be", "Te"],
  "fractional_positions": [[0.000, 0.000, 0.000], [0.333, 0.667, 0.486], [0.667, 0.333, 0.502]]
}

Stability ranking, top entry: run one; the second entry is 208 meV/atom less favorable.

Run one
{
  "formula": "Ac2BeTl",
  "functional": "GGA-PBE",
  "state": "relaxed",
  "m_tot_mub_per_atom": 0.0001,
  "lattice_angstrom": [[3.864, 0.000, 0.000], [-1.932, 3.346, 0.000], [0.000, 0.000, 34.932]],
  "species": ["Ac", "Ac", "Ac", "Ac", "Ac", "Ac", "Be", "Be", "Be", "Tl", "Tl", "Tl"],
  "fractional_positions": [[0.000, 0.000, 0.090], [0.000, 0.000, 0.910], [0.333, 0.667, 0.576], [0.333, 0.667, 0.757], [0.667, 0.333, 0.243], [0.667, 0.333, 0.424], [0.000, 0.000, 0.000], [0.333, 0.667, 0.667], [0.667, 0.333, 0.333], [0.000, 0.000, 0.500], [0.333, 0.667, 0.167], [0.667, 0.333, 0.833]]
}

Run two
{
  "formula": "Ac2BeTl",
  "functional": "GGA-PBE",
  "state": "relaxed",
  "m_tot_mub_per_atom": 0.0000,
  "lattice_angstrom": [[3.869, 0.000, 0.000], [0.000, 3.869, 0.000], [0.000, 0.000, 8.236]],
  "species": ["Ac", "Ac", "Be", "Tl"],
  "fractional_positions": [[0.000, 0.000, 0.217], [0.000, 0.000, 0.783], [0.500, 0.500, 0.000], [0.500, 0.500, 0.500]]
}

Stability ranking, top entry: run two; the second entry is 678 meV/atom less favorable.

Run one
{
  "formula": "AcBi2",
  "functional": "GGA-PBE",
  "state": "relaxed",
  "m_tot_mub_per_atom": 0.0000,
  "lattice_angstrom": [[0.000, 4.743, 4.743], [4.743, 0.000, 4.743], [4.743, 4.743, 0.000]],
  "species": ["Ac", "Ac", "Bi", "Bi", "Bi", "Bi"],
  "fractional_positions": [[0.125, 0.125, 0.125], [0.875, 0.875, 0.875], [0.000, 0.500, 0.500], [0.500, 0.000, 0.500], [0.500, 0.500, 0.000], [0.500, 0.500, 0.500]]
}

Run two
{
  "formula": "AcBi2",
  "functional": "GGA-PBE",
  "state": "relaxed",
  "m_tot_mub_per_atom": 0.0000,
  "lattice_angstrom": [[6.472, 0.000, 0.000], [0.000, 6.471, 0.000], [-2.610, 0.000, 5.312]],
  "species": ["Ac", "Ac", "Bi", "Bi", "Bi", "Bi"],
  "fractional_positions": [[0.000, 0.000, 0.000], [0.500, 0.500, 0.000], [0.110, 0.500, 0.295], [0.390, 0.000, 0.705], [0.610, 0.000, 0.295], [0.890, 0.500, 0.705]]
}

Stability ranking, top entry: run two; the second entry is 142 meV/atom less favorable.

Run one
{
  "formula": "AcBi2",
  "functional": "GGA-PBE",
  "state": "relaxed",
  "m_tot_mub_per_atom": 0.0000,
  "lattice_angstrom": [[4.810, 0.000, 0.000], [0.000, 18.222, 0.000], [0.000, 0.000, 4.802]],
  "species": ["Ac", "Ac", "Ac", "Ac", "Bi", "Bi", "Bi", "Bi", "Bi", "Bi", "Bi", "Bi"],
  "fractional_positions": [[0.000, 0.103, 0.250], [0.000, 0.897, 0.750], [0.500, 0.397, 0.750], [0.500, 0.603, 0.250], [0.000, 0.250, 0.750], [0.000, 0.433, 0.250], [0.000, 0.567, 0.750], [0.000, 0.750, 0.250], [0.500, 0.067, 0.750], [0.500, 0.250, 0.250], [0.500, 0.750, 0.750], [0.500, 0.933, 0.250]]
}

Run two
{
  "formula": "AcBi2",
  "functional": "GGA-PBE",
  "state": "relaxed",
  "m_tot_mub_per_atom": 0.0000,
  "lattice_angstrom": [[3.399, -3.348, 0.000], [3.399, 3.348, 0.000], [0.000, 0.000, 19.126]],
  "species": ["Ac", "Ac", "Ac", "Ac", "Bi", "Bi", "Bi", "Bi", "Bi", "Bi", "Bi", "Bi"],
  "fractional_positions": [[0.135, 0.865, 0.893], [0.365, 0.635, 0.393], [0.635, 0.365, 0.607], [0.865, 0.135, 0.107], [0.119, 0.381, 0.750], [0.131, 0.869, 0.567], [0.369, 0.631, 0.067], [0.381, 0.119, 0.250], [0.619, 0.881, 0.750], [0.631, 0.369, 0.933], [0.869, 0.131, 0.433], [0.881, 0.619, 0.250]]
}

Stability ranking, top entry: run one; the second entry is 11 meV/atom less favorable.

Run one
{
  "formula": "Ac2Bi",
  "functional": "GGA-PBE",
  "state": "relaxed",
  "m_tot_mub_per_atom": 0.1405,
  "lattice_angstrom": [[4.388, 0.000, 0.000], [0.000, 4.388, 0.000], [0.000, 0.000, 12.254]],
  "species": ["Ac", "Ac", "Ac", "Ac", "Bi", "Bi"],
  "fractional_positions": [[0.000, 0.000, 0.148], [0.000, 0.000, 0.852], [0.500, 0.500, 0.352], [0.500, 0.500, 0.648], [0.000, 0.000, 0.500], [0.500, 0.500, 0.000]]
}

Run two
{
  "formula": "Ac2Bi",
  "functional": "GGA-PBE",
  "state": "relaxed",
  "m_tot_mub_per_atom": 0.0000,
  "lattice_angstrom": [[0.000, 4.958, 4.958], [4.958, 0.000, 4.958], [4.958, 4.958, 0.000]],
  "species": ["Ac", "Ac", "Ac", "Ac", "Bi", "Bi"],
  "fractional_positions": [[0.000, 0.000, 0.000], [0.000, 0.000, 0.500], [0.000, 0.500, 0.000], [0.500, 0.000, 0.000], [0.375, 0.375, 0.375], [0.625, 0.625, 0.625]]
}

Stability ranking, top entry: run one; the second entry is 548 meV/atom less favorable.

Run one
{
  "formula": "AcBi5",
  "functional": "GGA-PBE",
  "state": "relaxed",
  "m_tot_mub_per_atom": 0.0000,
  "lattice_angstrom": [[5.141, 0.000, 0.000], [0.000, 16.437, 0.000], [0.000, 0.000, 4.712]],
  "species": ["Ac", "Ac", "Bi", "Bi", "Bi", "Bi", "Bi", "Bi", "Bi", "Bi", "Bi", "Bi"],
  "fractional_positions": [[0.000, 0.000, 0.000], [0.500, 0.500, 0.000], [0.000, 0.182, 0.500], [0.000, 0.345, 0.000], [0.000, 0.500, 0.500], [0.000, 0.655, 0.000], [0.000, 0.818, 0.500], [0.500, 0.000, 0.500], [0.500, 0.155, 0.000], [0.500, 0.318, 0.500], [0.500, 0.682, 0.500], [0.500, 0.845, 0.000]]
}

Run two
{
  "formula": "AcBi5",
  "functional": "GGA-PBE",
  "state": "relaxed",
  "m_tot_mub_per_atom": 0.0000,
  "lattice_angstrom": [[5.988, 0.000, 0.000], [0.000, 11.543, 0.000], [-2.713, 0.000, 6.285]],
  "species": ["Ac", "Ac", "Bi", "Bi", "Bi", "Bi", "Bi", "Bi", "Bi", "Bi", "Bi", "Bi"],
  "fractional_positions": [[0.241, 0.250, 0.453], [0.759, 0.750, 0.547], [0.224, 0.250, 0.939], [0.244, 0.565, 0.409], [0.244, 0.935, 0.409], [0.293, 0.611, 0.977], [0.293, 0.889, 0.977], [0.707, 0.111, 0.023], [0.707, 0.389, 0.023], [0.756, 0.065, 0.591], [0.756, 0.435, 0.591], [0.776, 0.750, 0.061]]
}

Stability ranking, top entry: run one; the second entry is 39 meV/atom less favorable.

Run one
{
  "formula": "Ac2BiBr",
  "functional": "GGA-PBE",
  "state": "relaxed",
  "m_tot_mub_per_atom": 0.0026,
  "lattice_angstrom": [[4.581, 0.000, 0.000], [-2.290, 3.967, 0.000], [0.000, 0.000, 25.469]],
  "species": ["Ac", "Ac", "Ac", "Ac", "Ac", "Ac", "Bi", "Bi", "Bi", "Br", "Br", "Br"],
  "fractional_positions": [[0.000, 0.000, 0.000], [0.000, 0.000, 0.176], [0.333, 0.667, 0.667], [0.333, 0.667, 0.843], [0.667, 0.333, 0.333], [0.667, 0.333, 0.510], [0.000, 0.000, 0.587], [0.333, 0.667, 0.254], [0.667, 0.333, 0.920], [0.000, 0.000, 0.757], [0.333, 0.667, 0.423], [0.667, 0.333, 0.090]]
}

Run two
{
  "formula": "Ac2BiBr",
  "functional": "GGA-PBE",
  "state": "relaxed",
  "m_tot_mub_per_atom": 0.0004,
  "lattice_angstrom": [[4.602, 0.000, 0.000], [-2.301, 3.986, 0.000], [0.000, 0.000, 30.582]],
  "species": ["Ac", "Ac", "Ac", "Ac", "Ac", "Ac", "Bi", "Bi", "Bi", "Br", "Br", "Br"],
  "fractional_positions": [[0.000, 0.000, 0.100], [0.000, 0.000, 0.900], [0.333, 0.667, 0.567], [0.333, 0.667, 0.766], [0.667, 0.333, 0.234], [0.667, 0.333, 0.433], [0.000, 0.000, 0.500], [0.333, 0.667, 0.167], [0.667, 0.333, 0.833], [0.000, 0.000, 0.000], [0.333, 0.667, 0.667], [0.667, 0.333, 0.333]]
}

Stability ranking, top entry: run one; the second entry is 80 meV/atom less favorable.